## KSn2Pt4 (GGA-PBE)

Data for KSn2Pt4 after structural relaxation.

abc: 8.151 8.151 4.285
angles: 90.00 90.00 90.00
Space group P4_2/mnm (No. 136)
Inequivalent atoms, fractional coordinates:
K: 0.000 0.000 0.000 (multiplicity 2)
Sn: 0.223 0.223 0.500 (multiplicity 4)
Pt: 0.089 0.651 0.500 (multiplicity 8)

Summary:
Total magnetization (μB/f.u.): 0.000
Raw total energy (eV for the cell shown): -71.9
Formation energy (kcal/mol of atoms): -8.868

=====

## K3SnPt (GGA-PBE)

Data for K3SnPt after structural relaxation.

abc: 6.145 6.145 6.145
angles: 90.00 90.00 90.00
Space group Pm-3m (No. 221)
Inequivalent atoms, fractional coordinates:
K: 0.000 0.000 0.500 (multiplicity 3)
Sn: 0.500 0.500 0.500 (multiplicity 1)
Pt: 0.000 0.000 0.000 (multiplicity 1)

Summary:
Total magnetization (μB/f.u.): 3.000
Raw total energy (eV for the cell shown): -12.1
Relative energy among the computed polymorphs (meV/atom): 0
Formation energy (kcal/mol of atoms): 5.522

=====

## K2TlSn3Pt4 (GGA-PBE)

Data for K2TlSn3Pt4 after structural relaxation.

abc: 4.832 4.832 10.529
angles: 90.00 90.00 90.00
Space group P-4m2 (No. 115)
Inequivalent atoms, fractional coordinates:
K: 0.000 0.500 0.242 (multiplicity 2)
Tl: 0.000 0.000 0.500 (multiplicity 1)
Sn: 0.000 0.500 0.884 (multiplicity 2)
Sn: 0.500 0.500 0.500 (multiplicity 1)
Pt: 0.000 0.000 0.000 (multiplicity 1)
Pt: 0.000 0.500 0.630 (multiplicity 2)
Pt: 0.500 0.500 0.000 (multiplicity 1)

Summary:
Total magnetization (μB/f.u.): 0.000
Raw total energy (eV for the cell shown): -44.9
Formation energy (kcal/mol of atoms): -9.604

=====

## KTl2SnPt (GGA-PBE)

Data for KTl2SnPt after structural relaxation.

abc: 5.473 5.473 5.395
angles: 90.00 90.00 90.00
Space group P4/mmm (No. 123)
Inequivalent atoms, fractional coordinates:
K: 0.000 0.000 0.000 (multiplicity 1)
Tl: 0.000 0.500 0.500 (multiplicity 2)
Sn: 0.500 0.500 0.000 (multiplicity 1)
Pt: 0.500 0.500 0.500 (multiplicity 1)

Summary:
Total magnetization (μB/f.u.): 0.000
Raw total energy (eV for the cell shown): -16.1
Formation energy (kcal/mol of atoms): -1.027

=====

## KVSn2Pt (GGA-PBE)

Data for KVSn2Pt after structural relaxation.

abc: 5.153 5.153 5.300
angles: 90.00 90.00 90.00
Space group P4/mmm (No. 123)
Inequivalent atoms, fractional coordinates:
K: 0.000 0.000 0.000 (multiplicity 1)
V: 0.000 0.000 0.500 (multiplicity 1)
Sn: 0.000 0.500 0.500 (multiplicity 2)
Pt: 0.500 0.500 0.000 (multiplicity 1)

Summary:
Total magnetization (μB/f.u.): 2.964
Raw total energy (eV for the cell shown): -19.9
Formation energy (kcal/mol of atoms): 19.897

=====

## K2SrPt (GGA-PBE)

Data for K2SrPt after structural relaxation.

abc: 7.825 4.525 11.463
angles: 90.00 103.22 90.00
Space group Cm (No. 8)
Inequivalent atoms, fractional coordinates:
K: 0.000 0.000 0.000 (multiplicity 2)
K: 0.209 0.000 0.636 (multiplicity 2)
Sr: 0.276 0.500 0.338 (multiplicity 2)
Pt: 0.484 0.000 0.462 (multiplicity 2)

Summary:
Total magnetization (μB/f.u.): 0.000
Raw total energy (eV for the cell shown): -21.5
Relative energy among the computed polymorphs (meV/atom): 39
Formation energy (kcal/mol of atoms): -4.683

=====

## K2SrPt (GGA-PBE)

Data for K2SrPt after structural relaxation.

abc: 4.768 4.768 6.042
angles: 90.00 90.00 90.00
Space group P4/mmm (No. 123)
Inequivalent atoms, fractional coordinates:
K: 0.000 0.500 0.000 (multiplicity 2)
Sr: 0.000 0.000 0.500 (multiplicity 1)
Pt: 0.500 0.500 0.500 (multiplicity 1)

Summary:
Total magnetization (μB/f.u.): 0.000
Raw total energy (eV for the cell shown): -9.9
Relative energy among the computed polymorphs (meV/atom): 243
Formation energy (kcal/mol of atoms): 0.007

=====

## KSrPt2 (GGA-PBE)

Data for KSrPt2 after structural relaxation.

abc: 3.7481 3.7481 27.1980
angles: 90.00 90.00 120.00
Space group R-3m (No. 166, hexagonal axes)
Inequivalent atoms, fractional coordinates:
K: 0.0000 0.0000 0.0000 (multiplicity 3)
Sr: 0.0000 0.0000 0.5000 (multiplicity 3)
Pt: 0.0000 0.0000 0.2438 (multiplicity 6)

Summary:
Total magnetization (μB/f.u.): 0.003
Raw total energy (eV for the cell shown): -43.6
Formation energy (kcal/mol of atoms): 1.853

=====

## KSrPt4 (GGA-PBE)

Data for KSrPt4 after structural relaxation.

abc: 7.844 7.844 7.844
angles: 90.00 90.00 90.00
Space group F-43m (No. 216)
Inequivalent atoms, fractional coordinates:
K: 0.000 0.000 0.000 (multiplicity 4)
Sr: 0.250 0.250 0.750 (multiplicity 4)
Pt: 0.125 0.125 0.375 (multiplicity 16)

Summary:
Total magnetization (μB/f.u.): 0.000
Raw total energy (eV for the cell shown): -121.8
Formation energy (kcal/mol of atoms): -13.471

=====

## K2Sr2Pt (GGA-PBE)

Data for K2Sr2Pt after structural relaxation.

abc: 8.101 8.101 7.389
angles: 90.00 90.00 90.00
Space group P4/mbm (No. 127)
Inequivalent atoms, fractional coordinates:
K: 0.180 0.320 0.000 (multiplicity 4)
Sr: 0.183 0.683 0.500 (multiplicity 4)
Pt: 0.000 0.000 0.500 (multiplicity 2)

Summary:
Total magnetization (μB/f.u.): 0.000
Raw total energy (eV for the cell shown): -24.5
Formation energy (kcal/mol of atoms): -2.901

=====

## K2SrPt (GGA-PBE)

Data for K2SrPt after structural relaxation.

abc: 4.066 5.901 14.874
angles: 90.00 90.00 90.00
Space group Imm2 (No. 44)
Inequivalent atoms, fractional coordinates:
K: 0.000 0.000 0.000 (multiplicity 2)
K: 0.000 0.500 0.154 (multiplicity 2)
Sr: 0.000 0.500 0.838 (multiplicity 2)
Pt: 0.000 0.000 0.476 (multiplicity 2)

Summary:
Total magnetization (μB/f.u.): 0.000
Raw total energy (eV for the cell shown): -20.7
Relative energy among the computed polymorphs (meV/atom): 130
Formation energy (kcal/mol of atoms): -2.580

=====

## KSr2Pt (GGA-PBE)

Data for KSr2Pt after structural relaxation.

abc: 8.035 8.035 8.035
angles: 90.00 90.00 90.00
Space group Fm-3m (No. 225)
Inequivalent atoms, fractional coordinates:
K: 0.000 0.000 0.000 (multiplicity 4)
Sr: 0.250 0.250 0.250 (multiplicity 8)
Pt: 0.000 0.000 0.500 (multiplicity 4)

Summary:
Total magnetization (μB/f.u.): 0.000
Raw total energy (eV for the cell shown): -44.0
Relative energy among the computed polymorphs (meV/atom): 338
Formation energy (kcal/mol of atoms): -2.841

=====

## KSr2Pt (GGA-PBE)

Data for KSr2Pt after structural relaxation.

abc: 4.616 5.403 5.417
angles: 90.00 90.00 90.00
Space group Pmmm (No. 47)
Inequivalent atoms, fractional coordinates:
K: 0.000 0.000 0.000 (multiplicity 1)
Sr: 0.500 0.000 0.500 (multiplicity 1)
Sr: 0.500 0.500 0.000 (multiplicity 1)
Pt: 0.000 0.500 0.500 (multiplicity 1)

Summary:
Total magnetization (μB/f.u.): 0.000
Raw total energy (eV for the cell shown): -10.6
Relative energy among the computed polymorphs (meV/atom): 428
Formation energy (kcal/mol of atoms): -0.780

=====

## KSr2Pt (GGA-PBE)

Data for KSr2Pt after structural relaxation.

abc: 4.282 4.282 9.832
angles: 90.00 90.00 90.00
Space group P4mm (No. 99)
Inequivalent atoms, fractional coordinates:
K: 0.000 0.000 0.000 (multiplicity 1)
Sr: 0.000 0.000 0.375 (multiplicity 1)
Sr: 0.500 0.500 0.646 (multiplicity 1)
Pt: 0.500 0.500 0.343 (multiplicity 1)

Summary:
Total magnetization (μB/f.u.): 0.146
Raw total energy (eV for the cell shown): -11.5
Relative energy among the computed polymorphs (meV/atom): 205
Formation energy (kcal/mol of atoms): -5.916

=====

## KSr2Pt (GGA-PBE)

Data for KSr2Pt after structural relaxation.

abc: 3.848 3.848 11.059
angles: 90.00 90.00 90.00
Space group P4/mmm (No. 123)
Inequivalent atoms, fractional coordinates:
K: 0.000 0.000 0.000 (multiplicity 1)
Sr: 0.500 0.500 0.344 (multiplicity 2)
Pt: 0.000 0.000 0.500 (multiplicity 1)

Summary:
Total magnetization (μB/f.u.): 0.000
Raw total energy (eV for the cell shown): -12.1
Relative energy among the computed polymorphs (meV/atom): 71
Formation energy (kcal/mol of atoms): -9.006

=====

## KSr2Pt (GGA-PBE)

Data for KSr2Pt after structural relaxation.

abc: 4.130 6.594 12.669
angles: 90.00 90.00 90.00
Space group Immm (No. 71)
Inequivalent atoms, fractional coordinates:
K: 0.000 0.000 0.000 (multiplicity 2)
Sr: 0.000 0.500 0.167 (multiplicity 4)
Pt: 0.000 0.000 0.500 (multiplicity 2)

Summary:
Total magnetization (μB/f.u.): 0.000
Raw total energy (eV for the cell shown): -23.2
Relative energy among the computed polymorphs (meV/atom): 192
Formation energy (kcal/mol of atoms): -6.216

=====

## K2SrPt (GGA-PBE)

Data for K2SrPt after structural relaxation.

abc: 5.0093 5.0093 25.2754
angles: 90.00 90.00 120.00
Space group R-3m (No. 166, hexagonal axes)
Inequivalent atoms, fractional coordinates:
K: 0.0000 0.0000 0.2142 (multiplicity 6)
Sr: 0.0000 0.0000 0.0000 (multiplicity 3)
Pt: 0.0000 0.0000 0.5000 (multiplicity 3)

Summary:
Total magnetization (μB/f.u.): 0.000
Raw total energy (eV for the cell shown): -26.7
Relative energy among the computed polymorphs (meV/atom): 495
Formation energy (kcal/mol of atoms): 5.830

=====

## KSr2Pt (GGA-PBE)

Data for KSr2Pt after structural relaxation.

abc: 4.3727 4.3727 33.8884
angles: 90.00 90.00 120.00
Space group R3m (No. 160, hexagonal axes)
Inequivalent atoms, fractional coordinates:
K: 0.0000 0.0000 0.0000 (multiplicity 3)
Sr: 0.0000 0.0000 0.2148 (multiplicity 3)
Sr: 0.0000 0.0000 0.4371 (multiplicity 3)
Pt: 0.0000 0.0000 0.7264 (multiplicity 3)

Summary:
Total magnetization (μB/f.u.): 0.000
Raw total energy (eV for the cell shown): -33.5
Relative energy among the computed polymorphs (meV/atom): 299
Formation energy (kcal/mol of atoms): -3.745

=====

## KSr2Pt (GGA-PBE)

Data for KSr2Pt after structural relaxation.

abc: 4.885 4.885 11.450
angles: 90.00 90.00 90.00
Space group I-4m2 (No. 119)
Inequivalent atoms, fractional coordinates:
K: 0.000 0.000 0.000 (multiplicity 2)
Sr: 0.000 0.000 0.500 (multiplicity 2)
Sr: 0.000 0.500 0.250 (multiplicity 2)
Pt: 0.000 0.500 0.750 (multiplicity 2)

Summary:
Total magnetization (μB/f.u.): 0.000
Raw total energy (eV for the cell shown): -20.9
Relative energy among the computed polymorphs (meV/atom): 475
Formation energy (kcal/mol of atoms): 0.315

=====

## KSrPt2 (GGA-PBE)

Data for KSrPt2 after structural relaxation.

abc: 3.987 4.006 6.505
angles: 90.00 90.00 90.00
Space group Pmmm (No. 47)
Inequivalent atoms, fractional coordinates:
K: 0.000 0.000 0.000 (multiplicity 1)
Sr: 0.000 0.000 0.500 (multiplicity 1)
Pt: 0.500 0.500 0.290 (multiplicity 2)

Summary:
Total magnetization (μB/f.u.): 0.000
Raw total energy (eV for the cell shown): -15.8
Formation energy (kcal/mol of atoms): -5.425

=====

## KSr2Pt (GGA-PBE)

Data for KSr2Pt after structural relaxation.

abc: 10.119 10.119 7.053
angles: 90.00 90.00 90.00
Space group I-42d (No. 122)
Inequivalent atoms, fractional coordinates:
K: 0.000 0.000 0.000 (multiplicity 4)
Sr: 0.126 0.250 0.625 (multiplicity 8)
Pt: 0.000 0.000 0.500 (multiplicity 4)

Summary:
Total magnetization (μB/f.u.): 0.000
Raw total energy (eV for the cell shown): -45.7
Relative energy among the computed polymorphs (meV/atom): 231
Formation energy (kcal/mol of atoms): -5.322

=====

## K2SrPt (GGA-PBE)

Data for K2SrPt after structural relaxation.

abc: 6.324 7.622 6.070
angles: 90.00 90.00 90.00
Space group Cmmm (No. 65)
Inequivalent atoms, fractional coordinates:
K: 0.000 0.199 0.000 (multiplicity 4)
Sr: 0.000 0.500 0.500 (multiplicity 2)
Pt: 0.000 0.000 0.500 (multiplicity 2)

Summary:
Total magnetization (μB/f.u.): 0.000
Raw total energy (eV for the cell shown): -19.5
Relative energy among the computed polymorphs (meV/atom): 280
Formation energy (kcal/mol of atoms): 0.876

=====

## K2SrPt (GGA-PBE)

Data for K2SrPt after structural relaxation.

abc: 8.156 8.156 8.156
angles: 90.00 90.00 90.00
Space group Fm-3m (No. 225)
Inequivalent atoms, fractional coordinates:
K: 0.250 0.250 0.250 (multiplicity 8)
Sr: 0.000 0.000 0.000 (multiplicity 4)
Pt: 0.000 0.000 0.500 (multiplicity 4)

Summary:
Total magnetization (μB/f.u.): 0.000
Raw total energy (eV for the cell shown): -36.0
Relative energy among the computed polymorphs (meV/atom): 474
Formation energy (kcal/mol of atoms): 5.340

=====

## K2SrPt (GGA-PBE)

Data for K2SrPt after structural relaxation.

abc: 4.756 4.756 12.233
angles: 90.00 90.00 90.00
Space group I4/mmm (No. 139)
Inequivalent atoms, fractional coordinates:
K: 0.000 0.500 0.250 (multiplicity 4)
Sr: 0.000 0.000 0.000 (multiplicity 2)
Pt: 0.000 0.000 0.500 (multiplicity 2)

Summary:
Total magnetization (μB/f.u.): 0.000
Raw total energy (eV for the cell shown): -19.6
Relative energy among the computed polymorphs (meV/atom): 275
Formation energy (kcal/mol of atoms): 0.744

=====

## KSr2Pt (GGA-PBE)

Data for KSr2Pt after structural relaxation.

abc: 3.978 4.311 21.421
angles: 90.00 90.00 90.00
Space group Imm2 (No. 44)
Inequivalent atoms, fractional coordinates:
K: 0.000 0.000 0.000 (multiplicity 2)
Sr: 0.000 0.000 0.331 (multiplicity 2)
Sr: 0.000 0.500 0.178 (multiplicity 2)
Pt: 0.000 0.500 0.727 (multiplicity 2)

Summary:
Total magnetization (μB/f.u.): 0.000
Raw total energy (eV for the cell shown): -23.7
Relative energy among the computed polymorphs (meV/atom): 131
Formation energy (kcal/mol of atoms): -7.633

=====

## K2Sr4Pt (GGA-PBE)

Data for K2Sr4Pt after structural relaxation.

abc: 6.059 6.059 21.519
angles: 90.00 90.00 90.00
Space group I4/mmm (No. 139)
Inequivalent atoms, fractional coordinates:
K: 0.000 0.000 0.163 (multiplicity 4)
Sr: 0.000 0.000 0.363 (multiplicity 4)
Sr: 0.000 0.500 0.000 (multiplicity 4)
Pt: 0.000 0.000 0.500 (multiplicity 2)

Summary:
Total magnetization (μB/f.u.): 0.000
Raw total energy (eV for the cell shown): -32.8
Formation energy (kcal/mol of atoms): -4.786

=====

## KSr2Pt (GGA-PBE)

Data for KSr2Pt after structural relaxation.

abc: 4.4737 4.4737 32.2563
angles: 90.00 90.00 120.00
Space group R3m (No. 160, hexagonal axes)
Inequivalent atoms, fractional coordinates:
K: 0.0000 0.0000 0.0000 (multiplicity 3)
Sr: 0.0000 0.0000 0.5476 (multiplicity 3)
Sr: 0.0000 0.0000 0.7838 (multiplicity 3)
Pt: 0.0000 0.0000 0.1656 (multiplicity 3)

Summary:
Total magnetization (μB/f.u.): 0.000
Raw total energy (eV for the cell shown): -37.0
Relative energy among the computed polymorphs (meV/atom): 0
Formation energy (kcal/mol of atoms): -10.644

=====

## KSrPt2 (GGA-PBE)

Data for KSrPt2 after structural relaxation.

abc: 10.500 4.746 7.133
angles: 90.00 125.50 90.00
Space group C2/m (No. 12)
Inequivalent atoms, fractional coordinates:
K: 0.000 0.000 0.000 (multiplicity 2)
Sr: 0.000 0.500 0.500 (multiplicity 2)
Pt: 0.242 0.000 0.555 (multiplicity 4)

Summary:
Total magnetization (μB/f.u.): 0.000
Raw total energy (eV for the cell shown): -32.0
Formation energy (kcal/mol of atoms): -6.609

=====

## KSrPt2 (GGA-PBE)

Data for KSrPt2 after structural relaxation.

abc: 4.849 5.386 8.557
angles: 90.00 90.00 90.00
Space group Imm2 (No. 44)
Inequivalent atoms, fractional coordinates:
K: 0.000 0.000 0.000 (multiplicity 2)
Sr: 0.000 0.500 0.202 (multiplicity 2)
Pt: 0.000 0.000 0.394 (multiplicity 2)
Pt: 0.000 0.500 0.813 (multiplicity 2)

Summary:
Total magnetization (μB/f.u.): 0.000
Raw total energy (eV for the cell shown): -31.9
Formation energy (kcal/mol of atoms): -6.194